[1]
This record from Alexandria describes an optimized crystal structure of HfAg2I. The functional is PBE.

a b c (Å): 8.158 8.158 5.695
angles (deg): 90.00 90.00 90.00
Space group I-42d (No. 122)
Symmetry-distinct sites (fractional):
Hf  0.000  0.000  0.000
Ag  0.236  0.250  0.125
I  0.000  0.000  0.500

Output
- energy above the lowest structure with this stoichiometry (meV per atom) = 432
- total magnetization (Bohr magnetons per cell) = 0.0
- E_form (uncorrected) (meV/atom) = 363
- calculated volume (Å³ per atom) = 23.69
- calculated density (g cm⁻³) = 9.1

[2]
This record from Alexandria describes an optimized crystal structure of La8Pr2Dy3. The functional is PBE.

a b c (Å): 20.928 7.756 5.845
angles (deg): 90.00 90.02 90.00
Space group C2/m (No. 12)
Symmetry-distinct sites (fractional):
La  0.103  0.200  0.000
La  0.130  0.500  0.500
La  0.173  0.000  0.501
Pr  0.241  0.500  0.999
Dy  0.000  0.219  0.500
Dy  0.000  0.500  0.000

Output
- energy above the lowest structure with this stoichiometry (meV per atom) = 33
- DFT formation energy (eV/atom) = 0.171
- total magnetization (Bohr magnetons per cell) = 0.0
- calculated volume (Å³ per atom) = 36.49
- calculated density (g cm⁻³) = 6.6

Please write out number 2 again, unchanged.
This record from Alexandria describes an optimized crystal structure of La8Pr2Dy3. The functional is PBE.

a b c (Å): 20.928 7.756 5.845
angles (deg): 90.00 90.02 90.00
Space group C2/m (No. 12)
Symmetry-distinct sites (fractional):
La  0.103  0.200  0.000
La  0.130  0.500  0.500
La  0.173  0.000  0.501
Pr  0.241  0.500  0.999
Dy  0.000  0.219  0.500
Dy  0.000  0.500  0.000

Output
- energy above the lowest structure with this stoichiometry (meV per atom) = 33
- DFT formation energy (eV/atom) = 0.171
- total magnetization (Bohr magnetons per cell) = 0.0
- calculated volume (Å³ per atom) = 36.49
- calculated density (g cm⁻³) = 6.6

Question: calculated density of number 2 (La8Pr2Dy3)?
Answer: 6.6 g cm⁻³

Copy entry 2 word for word.
This record from Alexandria describes an optimized crystal structure of La8Pr2Dy3. The functional is PBE.

a b c (Å): 20.928 7.756 5.845
angles (deg): 90.00 90.02 90.00
Space group C2/m (No. 12)
Symmetry-distinct sites (fractional):
La  0.103  0.200  0.000
La  0.130  0.500  0.500
La  0.173  0.000  0.501
Pr  0.241  0.500  0.999
Dy  0.000  0.219  0.500
Dy  0.000  0.500  0.000

Output
- energy above the lowest structure with this stoichiometry (meV per atom) = 33
- DFT formation energy (eV/atom) = 0.171
- total magnetization (Bohr magnetons per cell) = 0.0
- calculated volume (Å³ per atom) = 36.49
- calculated density (g cm⁻³) = 6.6